# 1
Material: GaPb2F
Method: DFT, PBE
State: optimized geometry

Values from the calculation:
space group = I-42d, No. 122
offset from the most stable computed form = 83 meV per atom

abc: 5.4809 5.4809 8.4939
angles: 71.18 71.18 90.00
Fractional coordinates of all 8 atoms:
Pb1 0.5634 0.1250 0.2500
Pb2 0.1866 0.6250 0.2500
Pb3 0.3750 0.4366 0.7500
Pb4 0.8750 0.8134 0.7500
Ga1 0.0000 0.0000 0.0000
Ga2 0.7500 0.2500 0.5000
F1 0.5000 0.5000 0.0000
F2 0.2500 0.7500 0.5000


# 2
Material: GaPb2F
Method: DFT, PBE
State: optimized geometry

Values from the calculation:
space group = Fm-3m, No. 225
offset from the most stable computed form = 0 meV per atom

abc: 4.9924 4.9924 4.9924
angles: 60.00 60.00 60.00
Fractional coordinates of all 4 atoms:
Pb1 0.2500 0.2500 0.2500
Pb2 0.7500 0.7500 0.7500
Ga1 0.5000 0.5000 0.5000
F1 0.0000 0.0000 0.0000


# 3
Material: GaPbF6
Method: DFT, PBE
State: optimized geometry

Values from the calculation:
space group = C2/m, No. 12

abc: 5.1621 5.1621 5.3270
angles: 68.09 68.09 72.42
Fractional coordinates of all 8 atoms:
Ga1 0.0000 0.0000 0.0000
Pb1 0.5000 0.5000 0.5000
F1 0.1486 0.7089 0.2907
F2 0.7089 0.1486 0.2907
F3 0.2911 0.8514 0.7093
F4 0.8514 0.2911 0.7093
F5 0.2459 0.2459 0.9332
F6 0.7541 0.7541 0.0668


# 4
Material: GaPbF5
Method: DFT, PBE
State: optimized geometry

Values from the calculation:
space group = Immm, No. 71
offset from the most stable computed form = 8 meV per atom

abc: 3.9835 5.8632 5.8632
angles: 72.80 70.15 70.15
Fractional coordinates of all 7 atoms:
Ga1 0.0000 0.0000 0.0000
Pb1 0.5000 0.5000 0.5000
F1 0.7823 0.2181 0.2181
F2 0.0000 0.2793 0.7207
F3 0.5000 0.0000 0.0000
F4 0.0000 0.7207 0.2793
F5 0.2177 0.7819 0.7819


# 5
Material: GaPbF4
Method: DFT, PBE
State: optimized geometry

Values from the calculation:
space group = Pmn2_1, No. 31

abc: 5.3358 5.2505 7.7484
angles: 90.00 90.00 90.00
Fractional coordinates of all 12 atoms:
Ga1 0.5149 0.3139 0.0000
Ga2 0.0149 0.6861 0.5000
Pb1 0.9704 0.8972 0.0000
Pb2 0.4704 0.1028 0.5000
F1 0.3717 0.6383 0.0000
F2 0.8529 0.4586 0.0000
F3 0.3310 0.1699 0.8087
F4 0.8310 0.8301 0.6913
F5 0.3529 0.5414 0.5000
F6 0.8717 0.3617 0.5000
F7 0.8310 0.8301 0.3087
F8 0.3310 0.1699 0.1913


# 6
Material: Ga2PdPbF
Method: DFT, PBE
State: optimized geometry

Values from the calculation:
space group = P4/mmm, No. 123

abc: 4.5363 5.0817 4.5363
angles: 90.00 90.00 90.00
Fractional coordinates of all 5 atoms:
Pb1 0.0000 0.5000 0.0000
Ga1 0.0000 0.0000 0.5000
Ga2 0.5000 0.0000 0.0000
Pd1 0.5000 0.5000 0.5000
F1 0.0000 0.0000 0.0000


# 7
Material: Rb2Ga3PbF12
Method: DFT, PBE
State: optimized geometry

Values from the calculation:
space group = R-3m, No. 166

abc: 7.4607 7.4607 7.4607
angles: 61.44 61.44 61.44
Fractional coordinates of all 18 atoms:
Rb1 0.6184 0.6184 0.6184
Rb2 0.3816 0.3816 0.3816
Ga1 0.5000 0.0000 0.0000
Ga2 0.0000 0.5000 0.0000
Ga3 0.0000 0.0000 0.5000
Pb1 0.0000 0.0000 0.0000
F1 0.2867 0.2867 0.9050
F2 0.8846 0.8846 0.4103
F3 0.4103 0.8846 0.8846
F4 0.9050 0.2867 0.2867
F5 0.8846 0.4103 0.8846
F6 0.2867 0.9050 0.2867
F7 0.7133 0.7133 0.0950
F8 0.1154 0.1154 0.5897
F9 0.5897 0.1154 0.1154
F10 0.0950 0.7133 0.7133
F11 0.1154 0.5897 0.1154
F12 0.7133 0.0950 0.7133


# 8
Material: RbGaPb2F8
Method: DFT, PBE
State: optimized geometry

Values from the calculation:
space group = P-1, No. 2

abc: 4.9961 5.5918 7.8287
angles: 87.24 82.69 98.35
Fractional coordinates of all 12 atoms:
Rb1 0.0000 0.0000 0.5000
Ga1 0.0000 0.0000 0.0000
Pb1 0.4364 0.5038 0.7595
Pb2 0.5636 0.4962 0.2405
F1 0.0182 0.7462 0.1837
F2 0.6602 0.8097 0.9724
F3 0.8429 0.1806 0.1798
F4 0.9818 0.2538 0.8163
F5 0.3398 0.1903 0.0276
F6 0.1571 0.8194 0.8202
F7 0.4523 0.7267 0.4879
F8 0.5477 0.2733 0.5121


# 9
Material: RbGa2PbF8
Method: DFT, PBE
State: optimized geometry

Values from the calculation:
space group = R-3, No. 148

abc: 5.9222 5.9222 8.1768
angles: 68.77 68.77 60.00
Fractional coordinates of all 12 atoms:
Rb1 0.5000 0.5000 0.5000
Ga1 0.2453 0.2453 0.2640
Ga2 0.7547 0.7547 0.7360
Pb1 0.0000 0.0000 0.0000
F1 0.1635 0.1635 0.5095
F2 0.5572 0.2952 0.1842
F3 0.8365 0.8365 0.4905
F4 0.9634 0.5572 0.1842
F5 0.0366 0.4428 0.8158
F6 0.2952 0.9634 0.1842
F7 0.7048 0.0366 0.8158
F8 0.4428 0.7048 0.8158


# 10
Material: RbGaPbF6
Method: DFT, PBE
State: optimized geometry

Values from the calculation:
space group = C2, No. 5

abc: 6.0525 6.0525 5.6583
angles: 90.03 89.97 59.93
Fractional coordinates of all 9 atoms:
Rb1 0.9999 0.9999 0.9997
Ga1 0.3334 0.3334 0.5001
Pb1 0.6665 0.6665 0.4995
F1 0.0645 0.3435 0.3059
F2 0.3446 0.0639 0.6943
F3 0.5912 0.3451 0.6945
F4 0.0631 0.5922 0.6939
F5 0.3439 0.5918 0.3057
F6 0.5927 0.0637 0.3063


# 11
Material: Sr2GaPbF
Method: DFT, PBE
State: optimized geometry

Values from the calculation:
space group = P4/mmm, No. 123
offset from the most stable computed form = 0 meV per atom

abc: 6.2980 4.2106 6.2980
angles: 90.00 90.00 90.00
Fractional coordinates of all 5 atoms:
Pb1 0.5000 0.5000 0.5000
Sr1 0.0000 0.0000 0.5000
Sr2 0.5000 0.0000 0.0000
Ga1 0.0000 0.0000 0.0000
F1 0.0000 0.5000 0.0000


# 12
Material: Sr2GaPbF
Method: DFT, PBE
State: optimized geometry

Values from the calculation:
space group = P4/mmm, No. 123
offset from the most stable computed form = 262 meV per atom

abc: 6.5288 4.6752 6.5288
angles: 90.00 90.00 90.00
Fractional coordinates of all 5 atoms:
Pb1 0.0000 0.0000 0.0000
Sr1 0.0000 0.0000 0.5000
Sr2 0.5000 0.0000 0.0000
Ga1 0.5000 0.5000 0.5000
F1 0.0000 0.5000 0.0000


no.,ρ (kg/m3),E_form (uncorrected) (meV per atom),spin magnetization (μB per formula unit)
1,7359,-526.6,0.0
2,9495,-609.4,0.0
3,5411,-2280.5,0.0
4,5207,-2530.0,0.0
5,5399,-2140.8,0.6
6,7496,-331.2,0.0
7,4466,-2558.1,0.0
8,5595,-2516.1,0.0
9,4299,-2378.9,0.0
10,4410,-2623.1,0.0
11,4685,-706.8,0.0
12,3926,-444.5,1.8